First-principles (PBE+U) data for a relaxed KTc2NiO8 crystal, as listed in the Alexandria database.

The calculation puts the volume at 17.32 A^3/atom. As for the total energy: -6.77 eV per atom. The space group is P-3m1.

Cell and atoms, written as POSCAR:
```
KTc2NiO8
1.0
5.729 0.000 0.000
-2.865 4.962 0.000
0.000 0.000 7.310
K Tc Ni O
1 2 1 8
direct
0.000 0.000 0.500 K
0.667 0.333 0.246 Tc
0.333 0.667 0.754 Tc
0.000 0.000 0.000 Ni
0.836 0.164 0.170 O
0.836 0.672 0.170 O
0.328 0.164 0.170 O
0.672 0.836 0.830 O
0.333 0.667 0.516 O
0.667 0.333 0.484 O
0.164 0.836 0.830 O
0.164 0.328 0.830 O
```